DFT (PBE-GGA) results for a geometry-optimized BaBe2P structure.

Summary:
The spin magnetization comes out at 0.000 μB/f.u. The value obtained for the energy of formation from the pure elements is 61 meV per atom. As for the electronic total energy: -43.63 eV/cell. The calculation puts the density of states at the Fermi level at 8.4 states/eV/cell.

Geometry as CIF:
```
data_BaBe2P
_chemical_formula_sum 'Ba3 Be6 P3'
_cell_length_a 3.8493
_cell_length_b 3.8493
_cell_length_c 17.0679
_cell_angle_alpha 90.00
_cell_angle_beta 90.00
_cell_angle_gamma 120.00
_space_group_name_H-M_alt 'R -3 m'
_space_group_IT_number 166
_space_group_name_Hall '-R 3 2"'
loop_
_atom_site_label
_atom_site_type_symbol
_atom_site_fract_x
_atom_site_fract_y
_atom_site_fract_z
Ba1 Ba 0.0000 0.0000 0.0000
Be1 Be 0.0000 0.0000 0.1919
P1 P 0.0000 0.0000 0.5000
```



DFT (PBE-GGA) results for a geometry-optimized PmTmSiGe structure.

Summary:
The energy relative to the elements, uncorrected comes out at -0.801 eV per atom. As for the excess energy over the best structure of this formula in the dataset: 0.0 kJ/mol of formula units. The spin magnetization comes out at 0.000 μB/f.u. As for the electronic total energy: -44.93 eV/cell. The calculation puts the density of states at the Fermi level at 5.5 states/eV/cell.

Geometry as CIF:
```
data_PmTmSiGe
_chemical_formula_sum 'Pm2 Tm2 Si2 Ge2'
_cell_length_a 3.926
_cell_length_b 4.328
_cell_length_c 10.718
_cell_angle_alpha 90.00
_cell_angle_beta 90.00
_cell_angle_gamma 90.00
_space_group_name_H-M_alt 'A m m 2'
_space_group_IT_number 38
loop_
_space_group_symop_operation_xyz
'x,y,z'
'-x,-y,z'
'-x,y,z'
'x,-y,z'
'x,y+1/2,z+1/2'
'-x,-y+1/2,z+1/2'
'-x,y+1/2,z+1/2'
'x,-y+1/2,z+1/2'
loop_
_atom_site_label
_atom_site_type_symbol
_atom_site_fract_x
_atom_site_fract_y
_atom_site_fract_z
Pm1 Pm 0.000 0.000 0.000
Tm1 Tm 0.500 0.000 0.278
Si1 Si 0.000 0.000 0.722
Ge1 Ge 0.500 0.000 0.562
```



DFT (PBE-GGA) results for a geometry-optimized PmNi2B structure.

Summary:
As for the excess energy over the best structure of this formula in the dataset: 108.6 kJ/mol of formula units. The spin magnetization comes out at 0.000 μB/f.u. The value obtained for the energy of formation from the pure elements is -134 meV per atom. As for the electronic total energy: -47.05 eV/cell. The calculation puts the density of states at the Fermi level at 5.7 states/eV/cell.

Geometry as CIF:
```
data_PmNi2B
_chemical_formula_sum 'Pm2 Ni4 B2'
_cell_length_a 5.173
_cell_length_b 7.284
_cell_length_c 3.181
_cell_angle_alpha 90.00
_cell_angle_beta 90.00
_cell_angle_gamma 90.00
_space_group_name_H-M_alt 'C m m m'
_space_group_IT_number 65
_space_group_name_Hall '-C 2 2'
loop_
_atom_site_label
_atom_site_type_symbol
_atom_site_fract_x
_atom_site_fract_y
_atom_site_fract_z
Pm1 Pm 0.000 0.000 0.000
Ni1 Ni 0.000 0.336 0.500
B1 B 0.000 0.500 0.000
```